Record 1
{"formula": "Ni2Os", "functional": "PBE", "state": "optimized geometry", "polymorph_energy_mev_per_atom": 199.9, "e_form_ev_per_atom": 0.26, "lattice_angstrom": [[-1.299, 1.299, 11.345], [1.299, -1.299, 11.345], [1.299, 1.299, -11.345]], "species": ["Ni", "Ni", "Ni", "Ni", "Os", "Os"], "frac_coords": [[0.296, 0.546, 0.750], [0.454, 0.704, 0.750], [0.546, 0.296, 0.250], [0.704, 0.454, 0.250], [0.125, 0.875, 0.250], [0.875, 0.125, 0.750]]}


Record 2
{"formula": "LaFeMo4", "functional": "PBE", "state": "optimized geometry", "e_form_ev_per_atom": 0.58, "lattice_angstrom": [[0.000, 3.837, 3.837], [3.837, 0.000, 3.837], [3.837, 3.837, 0.000]], "species": ["La", "Fe", "Mo", "Mo", "Mo", "Mo"], "frac_coords": [[0.000, 0.000, 0.000], [0.250, 0.250, 0.250], [0.126, 0.625, 0.625], [0.625, 0.126, 0.625], [0.625, 0.625, 0.126], [0.625, 0.625, 0.625]]}


Record 3
{"formula": "Te2PPbI", "functional": "PBE", "state": "optimized geometry", "polymorph_energy_mev_per_atom": 0.0, "raw_formation_energy_mev_per_atom": 178.4, "lattice_angstrom": [[5.398, 0.000, 0.000], [0.000, 5.398, 0.000], [0.000, 0.000, 5.360]], "species": ["Te", "Te", "P", "Pb", "I"], "frac_coords": [[0.000, 0.500, 0.000], [0.500, 0.000, 0.000], [0.000, 0.000, 0.000], [0.500, 0.500, 0.500], [0.000, 0.000, 0.500]]}


Record 4
{"formula": "Zr3BePb", "functional": "PBE", "state": "optimized geometry", "polymorph_energy_mev_per_atom": 0.0, "e_form_ev_per_atom": 0.01, "lattice_angstrom": [[4.777, 0.000, 0.000], [0.000, 4.777, 0.000], [0.000, 0.000, 4.777]], "species": ["Zr", "Zr", "Zr", "Be", "Pb"], "frac_coords": [[0.000, 0.000, 0.500], [0.000, 0.500, 0.000], [0.500, 0.000, 0.000], [0.000, 0.000, 0.000], [0.500, 0.500, 0.500]]}


Record 5
{"formula": "KNb3P", "functional": "PBE", "state": "optimized geometry", "polymorph_energy_mev_per_atom": 0.0, "e_form_ev_per_atom": 0.74, "lattice_angstrom": [[4.820, 0.000, 0.000], [0.000, 4.820, 0.000], [0.000, 0.000, 4.820]], "species": ["K", "Nb", "Nb", "Nb", "P"], "frac_coords": [[0.000, 0.000, 0.000], [0.000, 0.500, 0.500], [0.500, 0.000, 0.500], [0.500, 0.500, 0.000], [0.500, 0.500, 0.500]]}


Record 6
{"formula": "Ca2CdTc", "functional": "PBE", "state": "optimized geometry", "e_form_ev_per_atom": 0.38, "lattice_angstrom": [[5.342, 0.000, 0.000], [0.000, 5.342, 0.000], [0.000, 0.000, 3.422]], "species": ["Ca", "Ca", "Cd", "Tc"], "frac_coords": [[0.000, 0.500, 0.000], [0.500, 0.000, 0.000], [0.000, 0.000, 0.500], [0.500, 0.500, 0.500]]}


Sequential total DFT energy (no corrections) output: -7.334; -8.872; -3.212; -6.607; -6.602; -3.441 eV/atom